1.
PmPr8Nd2 after structural relaxation. Source: Alexandria, functional PBE.

Values from the calculation:
Total magnetic moment in μB/f.u.: 0.000
Formation enthalpy at 0 K in kJ per mole of atoms: 1.08
E in eV/atom: -4.76

Structure (CIF):
```
data_PmPr8Nd2
_chemical_formula_sum 'Pm1 Pr8 Nd2'
_cell_length_a 5.2398
_cell_length_b 8.2843
_cell_length_c 9.7841
_cell_angle_alpha 104.65
_cell_angle_beta 105.53
_cell_angle_gamma 90.00
_space_group_name_H-M_alt 'P 1'
_space_group_IT_number 1
_space_group_name_Hall 'P 1'
loop_
_atom_site_label
_atom_site_type_symbol
_atom_site_fract_x
_atom_site_fract_y
_atom_site_fract_z
Pm1 Pm 0.5000 0.0000 0.0000
Pr1 Pr 0.5910 0.4539 0.1820
Pr2 Pr 0.3183 0.0904 0.6366
Pr3 Pr 0.1363 0.1820 0.2726
Pr4 Pr 0.0456 0.7280 0.0913
Pr5 Pr 0.8637 0.8180 0.7274
Pr6 Pr 0.6817 0.9096 0.3634
Pr7 Pr 0.4090 0.5461 0.8180
Pr8 Pr 0.9544 0.2720 0.9087
Nd1 Nd 0.2271 0.6358 0.4543
Nd2 Nd 0.7729 0.3642 0.5457
```

=====

2.
MoHN2 after structural relaxation. Source: Alexandria, functional PBE.

Values from the calculation:
Total magnetic moment in μB/f.u.: 0.000
E in eV/atom: -7.76

Structure (CIF):
```
data_MoHN2
_chemical_formula_sum 'Mo1 H1 N2'
_cell_length_a 5.1729
_cell_length_b 5.1729
_cell_length_c 5.1729
_cell_angle_alpha 33.39
_cell_angle_beta 33.39
_cell_angle_gamma 33.39
_space_group_name_H-M_alt 'P 1'
_space_group_IT_number 1
_space_group_name_Hall 'P 1'
loop_
_atom_site_label
_atom_site_type_symbol
_atom_site_fract_x
_atom_site_fract_y
_atom_site_fract_z
H1 H 0.0000 0.0000 0.0000
Mo1 Mo 0.5000 0.5000 0.5000
N1 N 0.9135 0.9135 0.9135
N2 N 0.0865 0.0865 0.0865
```

=====

3.
ZrCoS2Cl after structural relaxation. Source: Alexandria, functional PBE.

Values from the calculation:
Total magnetic moment in μB/f.u.: 0.009
E in eV/atom: -5.38

Structure (CIF):
```
data_ZrCoS2Cl
_chemical_formula_sum 'Zr1 Co1 S2 Cl1'
_cell_length_a 4.4581
_cell_length_b 4.4581
_cell_length_c 4.3301
_cell_angle_alpha 90.00
_cell_angle_beta 90.00
_cell_angle_gamma 90.00
_space_group_name_H-M_alt 'P 1'
_space_group_IT_number 1
_space_group_name_Hall 'P 1'
loop_
_atom_site_label
_atom_site_type_symbol
_atom_site_fract_x
_atom_site_fract_y
_atom_site_fract_z
S1 S 0.0000 0.5000 0.0000
S2 S 0.5000 0.0000 0.0000
Co1 Co 0.0000 0.0000 0.0000
Zr1 Zr 0.5000 0.5000 0.5000
Cl1 Cl 0.0000 0.0000 0.5000
```

=====

4.
LiPaAsPt after structural relaxation. Source: Alexandria, functional PBE.

Values from the calculation:
Total magnetic moment in μB/f.u.: 0.235
Formation enthalpy at 0 K in kJ per mole of atoms: -72.82
E in eV/atom: -6.28

Structure (CIF):
```
data_LiPaAsPt
_chemical_formula_sum 'Li1 Pa1 As1 Pt1'
_cell_length_a 4.7780
_cell_length_b 4.7780
_cell_length_c 4.7780
_cell_angle_alpha 60.00
_cell_angle_beta 60.00
_cell_angle_gamma 60.00
_space_group_name_H-M_alt 'P 1'
_space_group_IT_number 1
_space_group_name_Hall 'P 1'
loop_
_atom_site_label
_atom_site_type_symbol
_atom_site_fract_x
_atom_site_fract_y
_atom_site_fract_z
As1 As 0.2500 0.2500 0.2500
Pa1 Pa 0.0000 0.0000 0.0000
Pt1 Pt 0.7500 0.7500 0.7500
Li1 Li 0.5000 0.5000 0.5000
```